## Ba3Y (PBE-GGA)

Data for crystalline Ba3Y at its relaxed geometry.

Its energy above the most stable polymorph in this dataset is 46.8 meV per atom. Its space group is C2/m (12). For the density of states at the Fermi level, the calculation gives 7.57 states/eV per cell. The calculation puts the energy at -2.843 eV per atom.

a = 7.2252 Å, b = 7.2252 Å, c = 7.2413 Å
α = 79.24°, β = 79.24°, γ = 33.54°
Site moments in Bohr magnetons follow the coordinates.
Fractional positions:
Y 0.0000 0.0000 0.0000  0.10
Ba 0.2605 0.2605 0.2340  0.03
Ba 0.5000 0.5000 0.5000  0.00
Ba 0.7395 0.7395 0.7660  0.03

---

## Ba3Y (PBE-GGA)

Data for crystalline Ba3Y at its relaxed geometry.

Its energy above the most stable polymorph in this dataset is 34.8 meV per atom. Its space group is P2/m (10). For the density of states at the Fermi level, the calculation gives 3.72 states/eV per cell. The calculation puts the energy at -2.855 eV per atom.

a = 6.5707 Å, b = 4.0298 Å, c = 7.8512 Å
α = 79.59°, β = 90.00°, γ = 90.00°
Fractional positions:
Ba 0.0000 0.5004 0.4856
Ba 0.0000 0.9996 0.0144
Ba 0.5000 0.7500 0.7500
Y 0.5000 0.2500 0.2500

---

## Ba3Y (PBE-GGA)

Data for crystalline Ba3Y at its relaxed geometry.

Its energy above the most stable polymorph in this dataset is 15.0 meV per atom. Its space group is Cmmm (65). For the density of states at the Fermi level, the calculation gives 4.61 states/eV per cell. The calculation puts the energy at -2.875 eV per atom.

a = 4.0511 Å, b = 4.0511 Å, c = 13.2575 Å
α = 90.00°, β = 90.00°, γ = 108.62°
Fractional positions:
Ba 0.0000 0.0000 0.0235
Ba 0.0000 0.0000 0.4765
Ba 0.5000 0.5000 0.7500
Y 0.5000 0.5000 0.2500